{
  "formula": "GaGeAsSe",
  "functional": "GGA-PBE",
  "state": "optimized geometry",
  "cell": [[-3.640, 0.749, -0.929], [-2.188, -2.744, -1.536], [-2.495, -2.402, 7.869]],
  "species": ["Ge", "As", "Ga", "Se"],
  "fractional_positions": [[0.239, 0.239, 0.490], [0.906, 0.906, 0.622], [0.239, 0.239, 0.203], [0.572, 0.572, 0.069]],
  "final_energy_ev_per_atom": -4.253,
  "sg": "Cm (8)",
  "m_tot_mub_per_cell": 0.0,
  "e_form_raw_ev_per_atom": -0.3088,
  "density_g_cm3": 4.501
}